# 1
Computed, not measured: KMgMn3 after structural relaxation at the PBE level of DFT.

**Total DFT energy (no corrections)**: -4.081 eV per atom
**ΔE to the lowest computed polymorph**: 707.9 meV per atom

a = 4.9480 Å, b = 4.9480 Å, c = 4.9480 Å
α = 90.00°, β = 90.00°, γ = 90.00°
Closest atoms and distances in Å follow each position.
Space group Pm-3m (No. 221)
Inequivalent atoms, fractional coordinates:
1 K 0.0000 0.0000 0.0000  6 Mn 2.47
2 Mg 0.5000 0.5000 0.5000  12 Mn 3.50
3 Mn 0.0000 0.0000 0.5000  2 K 2.47


# 2
Computed, not measured: KMgMn3 after structural relaxation at the PBE level of DFT.

**Total DFT energy (no corrections)**: -4.788 eV per atom
**ΔE to the lowest computed polymorph**: 0.0 meV per atom

a = 5.1968 Å, b = 5.1968 Å, c = 5.1968 Å
α = 90.00°, β = 90.00°, γ = 90.00°
Closest atoms and distances in Å follow each position.
Space group Pm-3m (No. 221)
Inequivalent atoms, fractional coordinates:
1 K 0.0000 0.0000 0.0000  12 Mn 3.67
2 Mg 0.5000 0.5000 0.5000  6 Mn 2.60
3 Mn 0.0000 0.5000 0.5000  2 Mg 2.60


# 3
Computed, not measured: K2MgMn after structural relaxation at the PBE level of DFT.

**Total DFT energy (no corrections)**: -2.531 eV per atom

a = 3.5861 Å, b = 5.6457 Å, c = 7.3570 Å
α = 90.00°, β = 91.09°, γ = 90.00°
Closest atoms and distances in Å follow each position.
Space group P2/m (No. 10)
Inequivalent atoms, fractional coordinates:
1 K 0.0017 0.0000 0.2438  4 K 3.59-3.77, 4 Mn 3.78-3.81, 4 Mg 3.82-3.86
2 Mg 0.5000 0.5000 0.5000  2 Mg 3.59, 2 Mn 3.68, 8 K 3.82-3.86
3 Mn 0.5000 0.5000 0.0000  2 Mn 3.59, 2 Mg 3.68, 8 K 3.78-3.81


# 4
Computed, not measured: K2MgMn after structural relaxation at the PBE level of DFT.

**Total DFT energy (no corrections)**: -2.501 eV per atom

a = 3.5575 Å, b = 3.5575 Å, c = 38.4237 Å
α = 90.00°, β = 90.00°, γ = 120.00°
Closest atoms and distances in Å follow each position.
Space group R-3m (No. 166, hexagonal axes)
Inequivalent atoms, fractional coordinates:
1 K 0.0000 0.0000 0.2460  6 K 3.56, 3 Mn 3.67, 3 Mg 3.94
2 Mg 0.0000 0.0000 0.0000  6 Mg 3.56, 6 K 3.94
3 Mn 0.0000 0.0000 0.5000  6 Mn 3.56, 6 K 3.67


# 5
Computed, not measured: KMgMn2 after structural relaxation at the PBE level of DFT.

**Total DFT energy (no corrections)**: -4.360 eV per atom

a = 3.0851 Å, b = 5.5960 Å, c = 10.9832 Å
α = 90.00°, β = 90.00°, γ = 90.00°
Closest atoms and distances in Å follow each position.
Space group Immm (No. 71)
Inequivalent atoms, fractional coordinates:
1 K 0.0000 0.0000 0.0000  2 K 3.09, 4 Mg 3.20, 4 Mn 3.43
2 Mg 0.0000 0.0000 0.5000  4 Mn 2.88, 2 Mg 3.09, 4 K 3.20
3 Mn 0.0000 0.5000 0.2214  2 Mg 2.88, 2 Mn 3.09


# 6
Computed, not measured: KMgMn2 after structural relaxation at the PBE level of DFT.

**Total DFT energy (no corrections)**: -4.297 eV per atom

a = 6.6353 Å, b = 9.5132 Å, c = 2.9792 Å
α = 90.00°, β = 90.00°, γ = 90.00°
Closest atoms and distances in Å follow each position.
Space group Cmmm (No. 65)
Inequivalent atoms, fractional coordinates:
1 K 0.0000 0.0000 0.0000  2 K 2.98, 8 Mn 3.26, 2 Mg 3.32
2 Mg 0.0000 0.5000 0.0000  2 Mg 2.98, 8 Mn 3.26, 2 K 3.32
3 Mn 0.2500 0.2500 0.5000  4 Mn 2.98-3.32, 4 K 3.26, 4 Mg 3.26


# 7
Computed, not measured: K2MgMn after structural relaxation at the PBE level of DFT.

**Total DFT energy (no corrections)**: -2.535 eV per atom

a = 5.0460 Å, b = 5.1079 Å, c = 11.4582 Å
α = 90.00°, β = 90.00°, γ = 90.00°
Closest atoms and distances in Å follow each position.
Space group Immm (No. 71)
Inequivalent atoms, fractional coordinates:
1 K 0.0000 0.0000 0.2497  4 K 3.59, 4 Mn 3.81-3.84, 4 Mg 3.82-3.83
2 Mg 0.0000 0.5000 0.0000  4 Mn 3.59, 8 K 3.82-3.83
3 Mn 0.0000 0.5000 0.5000  4 Mg 3.59, 8 K 3.81-3.84


# 8
Computed, not measured: KMgMn2 after structural relaxation at the PBE level of DFT.

**Total DFT energy (no corrections)**: -4.542 eV per atom

a = 2.9297 Å, b = 4.7866 Å, c = 7.4363 Å
α = 90.00°, β = 100.18°, γ = 90.00°
Closest atoms and distances in Å follow each position.
Space group P2/m (No. 10)
Inequivalent atoms, fractional coordinates:
1 K 0.0000 0.0000 0.0000  2 K 2.93
2 Mg 0.5000 0.0000 0.5000  4 Mn 2.76, 2 Mg 2.93
3 Mn 0.2749 0.5000 0.6481  2 Mn 2.49-2.76, 2 Mg 2.76